Record 1
First-principles (GGA-PBE) data for an optimized crystal structure of Ac4SnAu3, as listed in Alexandria.

Structure (POSCAR):
```
Ac4SnAu3
1.0
-2.771 1.385 3.095
-0.437 -4.600 1.667
9.217 1.818 7.438
Ac Au Sn
4 3 1
Cartesian
4.466 1.847 6.270
1.327 0.262 1.070
1.799 -0.936 5.127
7.687 -0.740 7.213
5.181 -1.235 5.191
3.858 0.761 3.113
6.989 2.345 8.306
-0.856 -1.460 2.985
```

Values from the calculation:
Formation energy from the elements, eV per atom: -0.761
Calculated total energy, eV per atom: -4.544
SG: No. 25

=====

Record 2
First-principles (GGA-PBE) data for an optimized crystal structure of AcSn2Au, as listed in Alexandria.

Structure (POSCAR):
```
AcSn2Au
1.0
-2.914 0.815 3.861
-3.025 -3.327 -1.581
2.356 -3.320 2.479
Ac Au Sn
1 1 2
Cartesian
-1.792 -2.916 2.380
-1.457 0.408 1.930
-1.513 -1.664 -0.790
1.178 -1.660 1.240
```

Values from the calculation:
Relative energy among the computed polymorphs, kcal/mol of atoms: 2.56
Formation energy from the elements, eV per atom: -0.498
Calculated total energy, eV per atom: -4.346
SG: No. 123

=====

Record 3
First-principles (GGA-PBE) data for an optimized crystal structure of Ac2Sn3Au, as listed in Alexandria.

Structure (POSCAR):
```
Ac2Sn3Au
1.0
-2.991 -4.980 -3.252
1.225 -4.425 4.821
-6.356 6.670 2.862
Sn Ac Au
6 4 2
Cartesian
-2.544 -6.611 1.783
-6.422 -0.614 3.397
-2.445 0.665 1.231
-1.701 -2.121 1.034
-5.579 3.876 2.648
-5.678 -3.399 3.199
-5.115 -1.506 0.197
-3.007 -1.229 4.234
0.196 -4.561 2.850
-1.962 -4.845 -1.281
-3.327 -4.038 2.015
-4.796 1.303 2.415
```

Values from the calculation:
Relative energy among the computed polymorphs, kcal/mol of atoms: 0.00
Formation energy from the elements, eV per atom: -0.671
Calculated total energy, eV per atom: -4.588
SG: No. 69